! BeZn2Pb PBE optimized geometry; values from VASP
! - DFT total energy (eV/atom) = -2.1602
! - ΔE_f (eV/atom) = 0.335
! - theoretical density (g/cm3) = 7.62
! - polymorph energy (0 for the lowest one) (eV/f.u.) = 0.43
! - total moment (μB per atom) = 0.00
&SYSTEM
  ibrav = 0, nat = 4, ntyp = 3
/
ATOMIC_SPECIES
Zn 65.41 Zn.upf
Be 9.01 Be.upf
Pb 207.20 Pb.upf
CELL_PARAMETERS angstrom
4.0239 0.0000 0.0000
0.0000 3.3582 -0.4730
0.0000 0.8164 5.4833
ATOMIC_POSITIONS angstrom
Zn 0.0000 3.0651 0.3796
Zn 2.0119 1.4337 0.9579
Be 0.0000 1.6204 2.2969
Pb 2.0119 3.5009 3.4082